VASP calculation (PBEsol) on a geometry-optimized TlPt2Au structure.

Calculated values
Energy relative to the elements   1.3 kJ per mole of atoms
DOS at the Fermi energy   1.282 states/eV per cell
Total magnetic moment   0.0 μB/cell
Total DFT energy (no corrections)   -5.11 eV per atom

```
data_TlPt2Au
_cell_length_a 4.174
_cell_length_b 4.170
_cell_length_c 4.886
_cell_angle_alpha 115.26
_cell_angle_beta 115.29
_cell_angle_gamma 90.00
_space_group_name_H-M_alt 'P 1'
_space_group_IT_number 1
loop_
_space_group_symop_operation_xyz
'x,y,z'
loop_
_atom_site_label
_atom_site_type_symbol
_atom_site_fract_x
_atom_site_fract_y
_atom_site_fract_z
_atom_site_occupancy
Pt1 Pt 0.750 0.750 0.500 1
Pt2 Pt 0.250 0.250 0.500 1
Au1 Au 0.500 0.000 0.000 1
Tl1 Tl 0.000 0.500 0.000 1
```


VASP calculation (PBEsol) on a geometry-optimized SrNi2Au structure.

Calculated values
Energy relative to the elements   -17.9 kJ per mole of atoms
DOS at the Fermi energy   2.997 states/eV per cell
Total magnetic moment   0.0 μB/cell
Total DFT energy (no corrections)   -4.71 eV per atom

```
data_SrNi2Au
_cell_length_a 4.285
_cell_length_b 4.285
_cell_length_c 5.564
_cell_angle_alpha 112.77
_cell_angle_beta 90.00
_cell_angle_gamma 120.00
_space_group_name_H-M_alt 'P 1'
_space_group_IT_number 1
loop_
_space_group_symop_operation_xyz
'x,y,z'
loop_
_atom_site_label
_atom_site_type_symbol
_atom_site_fract_x
_atom_site_fract_y
_atom_site_fract_z
_atom_site_occupancy
Au1 Au 0.000 0.000 0.500 1
Ni1 Ni 0.316 0.632 0.448 1
Ni2 Ni 0.684 0.368 0.552 1
Sr1 Sr 0.500 0.000 0.000 1
```


VASP calculation (PBEsol) on a geometry-optimized ZrTeRh2 structure.

Calculated values
Excess energy over the best structure of this formula in the dataset   0.015 eV per atom
DOS at the Fermi energy   2.271 states/eV per cell
Total magnetic moment   0.0 μB/cell
Total DFT energy (no corrections)   -7.72 eV per atom
Energy relative to the elements, uncorrected   -2.00 eV/f.u.

```
data_ZrTeRh2
_cell_length_a 3.972
_cell_length_b 3.972
_cell_length_c 5.134
_cell_angle_alpha 112.76
_cell_angle_beta 112.76
_cell_angle_gamma 90.00
_space_group_name_H-M_alt 'P 1'
_space_group_IT_number 1
loop_
_space_group_symop_operation_xyz
'x,y,z'
loop_
_atom_site_label
_atom_site_type_symbol
_atom_site_fract_x
_atom_site_fract_y
_atom_site_fract_z
_atom_site_occupancy
Zr1 Zr 0.250 0.750 0.500 1
Rh1 Rh 0.750 0.250 0.500 1
Rh2 Rh 0.000 0.000 0.000 1
Te1 Te 0.500 0.500 0.000 1
```


VASP calculation (PBEsol) on a geometry-optimized ZnAsP2 structure.

Calculated values
Energy relative to the elements   43.7 kJ per mole of atoms
Excess energy over the best structure of this formula in the dataset   0.402 eV per atom
DOS at the Fermi energy   1.788 states/eV per cell
Total magnetic moment   0.0 μB/cell
Total DFT energy (no corrections)   -4.11 eV per atom

```
data_ZnAsP2
_cell_length_a 2.776
_cell_length_b 5.178
_cell_length_c 5.144
_cell_angle_alpha 117.18
_cell_angle_beta 100.55
_cell_angle_gamma 99.94
_space_group_name_H-M_alt 'P 1'
_space_group_IT_number 1
loop_
_space_group_symop_operation_xyz
'x,y,z'
loop_
_atom_site_label
_atom_site_type_symbol
_atom_site_fract_x
_atom_site_fract_y
_atom_site_fract_z
_atom_site_occupancy
As1 As 0.000 0.500 0.000 1
P1 P 0.500 0.500 0.500 1
P2 P 0.000 0.000 0.500 1
Zn1 Zn 0.500 0.000 0.000 1
```


VASP calculation (PBEsol) on a geometry-optimized TaCrCu2 structure.

Calculated values
Energy relative to the elements   23.5 kJ per mole of atoms
Excess energy over the best structure of this formula in the dataset   0.000 eV per atom
DOS at the Fermi energy   2.017 states/eV per cell
Total magnetic moment   0.0 μB/cell
Total DFT energy (no corrections)   -7.62 eV per atom

```
data_TaCrCu2
_cell_length_a 2.547
_cell_length_b 4.173
_cell_length_c 4.885
_cell_angle_alpha 90.00
_cell_angle_beta 95.92
_cell_angle_gamma 90.00
_space_group_name_H-M_alt 'P 1'
_space_group_IT_number 1
loop_
_space_group_symop_operation_xyz
'x,y,z'
loop_
_atom_site_label
_atom_site_type_symbol
_atom_site_fract_x
_atom_site_fract_y
_atom_site_fract_z
_atom_site_occupancy
Cu1 Cu 0.890 0.000 0.986 1
Cu2 Cu 0.878 0.500 0.250 1
Cr1 Cr 0.261 0.500 0.780 1
Ta1 Ta 0.472 0.000 0.484 1
```


VASP calculation (PBEsol) on a geometry-optimized TiAg3Se structure.

Calculated values
DOS at the Fermi energy   5.751 states/eV per cell
Total magnetic moment   2.6 μB/cell
Total DFT energy (no corrections)   -3.57 eV per atom
Energy relative to the elements, uncorrected   4.27 eV/f.u.

```
data_TiAg3Se
_cell_length_a 4.862
_cell_length_b 4.862
_cell_length_c 4.862
_cell_angle_alpha 90.00
_cell_angle_beta 90.00
_cell_angle_gamma 90.00
_space_group_name_H-M_alt 'P 1'
_space_group_IT_number 1
loop_
_space_group_symop_operation_xyz
'x,y,z'
loop_
_atom_site_label
_atom_site_type_symbol
_atom_site_fract_x
_atom_site_fract_y
_atom_site_fract_z
_atom_site_occupancy
Ti1 Ti 0.500 0.500 0.500 1
Ag1 Ag 0.000 0.500 0.000 1
Ag2 Ag 0.500 0.000 0.000 1
Ag3 Ag 0.000 0.000 0.500 1
Se1 Se 0.000 0.000 0.000 1
```


VASP calculation (PBEsol) on a geometry-optimized Zr2CrTcAu structure.

Calculated values
Energy relative to the elements   142.8 kJ per mole of atoms
DOS at the Fermi energy   7.032 states/eV per cell
Total magnetic moment   3.2 μB/cell
Total DFT energy (no corrections)   -7.24 eV per atom

```
data_Zr2CrTcAu
_cell_length_a 4.858
_cell_length_b 5.021
_cell_length_c 5.021
_cell_angle_alpha 90.00
_cell_angle_beta 90.00
_cell_angle_gamma 90.00
_space_group_name_H-M_alt 'P 1'
_space_group_IT_number 1
loop_
_space_group_symop_operation_xyz
'x,y,z'
loop_
_atom_site_label
_atom_site_type_symbol
_atom_site_fract_x
_atom_site_fract_y
_atom_site_fract_z
_atom_site_occupancy
Zr1 Zr 0.000 0.500 0.000 1
Zr2 Zr 0.000 0.000 0.500 1
Cr1 Cr 0.500 0.500 0.500 1
Tc1 Tc 0.500 0.000 0.000 1
Au1 Au 0.000 0.000 0.000 1
```


VASP calculation (PBEsol) on a geometry-optimized RbAlRe2Bi structure.

Calculated values
Energy relative to the elements   229.5 kJ per mole of atoms
DOS at the Fermi energy   5.131 states/eV per cell
Total magnetic moment   3.4 μB/cell
Total DFT energy (no corrections)   -4.84 eV per atom

```
data_RbAlRe2Bi
_cell_length_a 5.153
_cell_length_b 5.153
_cell_length_c 5.612
_cell_angle_alpha 90.00
_cell_angle_beta 90.00
_cell_angle_gamma 90.00
_space_group_name_H-M_alt 'P 1'
_space_group_IT_number 1
loop_
_space_group_symop_operation_xyz
'x,y,z'
loop_
_atom_site_label
_atom_site_type_symbol
_atom_site_fract_x
_atom_site_fract_y
_atom_site_fract_z
_atom_site_occupancy
Rb1 Rb 0.500 0.500 0.500 1
Bi1 Bi 0.000 0.000 0.000 1
Al1 Al 0.000 0.000 0.500 1
Re1 Re 0.500 0.000 0.000 1
Re2 Re 0.000 0.500 0.000 1
```


VASP calculation (PBEsol) on a geometry-optimized Sr4InIr structure.

Calculated values
Energy relative to the elements   76.3 kJ per mole of atoms
DOS at the Fermi energy   3.575 states/eV per cell
Total magnetic moment   0.0 μB/cell
Total DFT energy (no corrections)   -2.57 eV per atom

```
data_Sr4InIr
_cell_length_a 6.346
_cell_length_b 6.346
_cell_length_c 6.346
_cell_angle_alpha 60.00
_cell_angle_beta 60.00
_cell_angle_gamma 60.00
_space_group_name_H-M_alt 'P 1'
_space_group_IT_number 1
loop_
_space_group_symop_operation_xyz
'x,y,z'
loop_
_atom_site_label
_atom_site_type_symbol
_atom_site_fract_x
_atom_site_fract_y
_atom_site_fract_z
_atom_site_occupancy
Sr1 Sr 0.879 0.374 0.374 1
Sr2 Sr 0.374 0.879 0.374 1
Sr3 Sr 0.374 0.374 0.879 1
Sr4 Sr 0.374 0.374 0.374 1
Ir1 Ir 0.000 0.000 0.000 1
In1 In 0.750 0.750 0.750 1
```


VASP calculation (PBEsol) on a geometry-optimized Dy3Ge13Ir4 structure.

Calculated values
Energy relative to the elements   -55.0 kJ per mole of atoms
DOS at the Fermi energy   13.554 states/eV per cell
Total magnetic moment   0.0 μB/cell
Total DFT energy (no corrections)   -6.49 eV per atom

```
data_Dy3Ge13Ir4
_cell_length_a 8.919
_cell_length_b 8.919
_cell_length_c 8.919
_cell_angle_alpha 90.00
_cell_angle_beta 90.00
_cell_angle_gamma 90.00
_space_group_name_H-M_alt 'P 1'
_space_group_IT_number 1
loop_
_space_group_symop_operation_xyz
'x,y,z'
loop_
_atom_site_label
_atom_site_type_symbol
_atom_site_fract_x
_atom_site_fract_y
_atom_site_fract_z
_atom_site_occupancy
Dy1 Dy 0.000 0.500 0.750 1
Dy2 Dy 0.000 0.500 0.250 1
Dy3 Dy 0.500 0.250 0.000 1
Dy4 Dy 0.250 0.000 0.500 1
Dy5 Dy 0.750 0.000 0.500 1
Dy6 Dy 0.500 0.750 0.000 1
Ge1 Ge 0.500 0.192 0.645 1
Ge2 Ge 0.855 0.692 0.000 1
Ge3 Ge 0.855 0.308 0.000 1
Ge4 Ge 0.000 0.855 0.692 1
Ge5 Ge 0.500 0.808 0.645 1
Ge6 Ge 0.645 0.500 0.808 1
Ge7 Ge 0.145 0.308 0.000 1
Ge8 Ge 0.500 0.192 0.355 1
Ge9 Ge 0.645 0.500 0.192 1
Ge10 Ge 0.692 0.000 0.145 1
Ge11 Ge 0.308 0.000 0.855 1
Ge12 Ge 0.000 0.000 0.000 1
Ge13 Ge 0.692 0.000 0.855 1
Ge14 Ge 0.500 0.808 0.355 1
Ge15 Ge 0.000 0.855 0.308 1
Ge16 Ge 0.000 0.145 0.308 1
Ge17 Ge 0.145 0.692 0.000 1
Ge18 Ge 0.000 0.145 0.692 1
Ge19 Ge 0.308 0.000 0.145 1
Ge20 Ge 0.500 0.500 0.500 1
Ge21 Ge 0.355 0.500 0.192 1
Ge22 Ge 0.808 0.355 0.500 1
Ge23 Ge 0.192 0.645 0.500 1
Ge24 Ge 0.355 0.500 0.808 1
Ge25 Ge 0.192 0.355 0.500 1
Ge26 Ge 0.808 0.645 0.500 1
Ir1 Ir 0.250 0.250 0.750 1
Ir2 Ir 0.250 0.750 0.250 1
Ir3 Ir 0.250 0.250 0.250 1
Ir4 Ir 0.750 0.250 0.250 1
Ir5 Ir 0.750 0.750 0.250 1
Ir6 Ir 0.750 0.750 0.750 1
Ir7 Ir 0.750 0.250 0.750 1
Ir8 Ir 0.250 0.750 0.750 1
```